A plane-wave DFT calculation with PBE-GGA was carried out for OsRh2Pb after structural relaxation.

- Space-group type: No. 139
- Calculated total energy: -28.1 eV per cell
- ΔE_f: 374.4 meV per atom
- Total moment: 0.000 Bohr magnetons per cell

a b c (Å): 4.880 4.880 4.880
angles (deg): 130.98 130.98 71.85
Positions (direct):
Pb1 0.000 0.000 0.000
Rh1 0.750 0.250 0.500
Rh2 0.250 0.750 0.500
Os1 0.500 0.500 0.000